Entry 1:
Rb2NbV2 | GGA-PBE | optimized geometry

Structure (CIF):
```
data_Rb2NbV2
_symmetry_space_group_name_H-M 'I 4/m m m'
_symmetry_Int_Tables_number 139
_symmetry_space_group_name_Hall '-I 4 2'
_cell_length_a 4.1305
_cell_length_b 4.1305
_cell_length_c 15.5933
_cell_angle_alpha 90.00
_cell_angle_beta 90.00
_cell_angle_gamma 90.00
loop_
_atom_site_label
_atom_site_fract_x
_atom_site_fract_y
_atom_site_fract_z
_atom_site_occupancy
Rb1 0.0000 0.5000 0.2500 1
Nb1 0.0000 0.0000 0.0000 1
V1 0.0000 0.0000 0.4394 1
```

Summary:
total DFT energy (no corrections) = -45.222 eV for the cell shown
total magnetization = 2.66 μB/f.u.
E above lowest polymorph = 0 meV/atom
calculated formation energy = 1.53 eV/atom
calculated volume = 266 Å³ per cell



Entry 2:
Rb2BaVCl8 | GGA-PBE | optimized geometry

Structure (CIF):
```
data_Rb2BaVCl8
_symmetry_space_group_name_H-M 'P -1'
_symmetry_Int_Tables_number 2
_cell_length_a 5.8263
_cell_length_b 7.7682
_cell_length_c 9.1091
_cell_angle_alpha 90.00
_cell_angle_beta 90.02
_cell_angle_gamma 103.87
loop_
_symmetry_equiv_pos_as_xyz
'x,y,z'
'-x,-y,-z'
loop_
_atom_site_label
_atom_site_fract_x
_atom_site_fract_y
_atom_site_fract_z
_atom_site_occupancy
Rb1 0.0016 0.0000 0.2630 1
Ba1 0.5000 0.5000 0.0000 1
V1 0.5000 0.5000 0.5000 1
Cl1 0.0017 0.7365 0.9999 1
Cl2 0.1229 0.3396 0.5001 1
Cl3 0.4183 0.6907 0.3120 1
Cl4 0.4187 0.6908 0.6879 1
```

Summary:
total DFT energy (no corrections) = -48.138 eV for the cell shown
total magnetization = 1.00 μB/f.u.
ΔE_f (raw) = -1.699 eV/atom
calculated volume = 400 Å³ per cell



Entry 3:
Li2SbTe | GGA-PBE | optimized geometry

Structure (CIF):
```
data_Li2SbTe
_symmetry_space_group_name_H-M 'I 4/m m m'
_symmetry_Int_Tables_number 139
_symmetry_space_group_name_Hall '-I 4 2'
_cell_length_a 4.6258
_cell_length_b 4.6258
_cell_length_c 8.4884
_cell_angle_alpha 90.00
_cell_angle_beta 90.00
_cell_angle_gamma 90.00
loop_
_atom_site_label
_atom_site_fract_x
_atom_site_fract_y
_atom_site_fract_z
_atom_site_occupancy
Li1 0.0000 0.5000 0.2500 1
Sb1 0.0000 0.0000 0.0000 1
Te1 0.0000 0.0000 0.5000 1
```

Summary:
total DFT energy (no corrections) = -26.004 eV for the cell shown
total magnetization = 0.00 μB/f.u.
E above lowest polymorph = 37 meV/atom
ΔE_f (raw) = -0.478 eV/atom
calculated volume = 182 Å³ per cell



Entry 4:
LaGeAu | GGA-PBE | optimized geometry

Structure (CIF):
```
data_LaGeAu
_symmetry_space_group_name_H-M 'C 1 m 1'
_symmetry_Int_Tables_number 8
_cell_length_a 10.4893
_cell_length_b 4.3735
_cell_length_c 6.2746
_cell_angle_alpha 90.00
_cell_angle_beta 90.87
_cell_angle_gamma 90.00
loop_
_symmetry_equiv_pos_as_xyz
'x,y,z'
'x,-y,z'
'x+1/2,y+1/2,z'
'x+1/2,-y+1/2,z'
loop_
_atom_site_label
_atom_site_fract_x
_atom_site_fract_y
_atom_site_fract_z
_atom_site_occupancy
La1 0.0000 0.0000 0.0000 1
La2 0.1257 0.5000 0.4679 1
Ge1 0.3138 0.0000 0.2267 1
Ge2 0.4170 0.5000 0.4968 1
Au1 0.2030 0.5000 0.9576 1
Au2 0.3325 0.0000 0.7173 1
```

Summary:
total DFT energy (no corrections) = -59.236 eV for the cell shown
total magnetization = 0.00 μB/f.u.
calculated formation energy = -0.66 eV/atom
calculated volume = 288 Å³ per cell



Entry 5:
ScSiPt2 | GGA-PBE | optimized geometry

Structure (CIF):
```
data_ScSiPt2
_symmetry_space_group_name_H-M 'I -4 2 d'
_symmetry_Int_Tables_number 122
_symmetry_space_group_name_Hall 'I -4 2bw'
_cell_length_a 4.9309
_cell_length_b 4.9309
_cell_length_c 14.0933
_cell_angle_alpha 90.00
_cell_angle_beta 90.00
_cell_angle_gamma 90.00
loop_
_atom_site_label
_atom_site_fract_x
_atom_site_fract_y
_atom_site_fract_z
_atom_site_occupancy
Sc1 0.0000 0.0000 0.0000 1
Si1 0.0000 0.0000 0.5000 1
Pt1 0.1846 0.2500 0.6250 1
```

Summary:
total DFT energy (no corrections) = -104.624 eV for the cell shown
total magnetization = 0.00 μB/f.u.
ΔE_f (raw) = -0.580 eV/atom
calculated volume = 343 Å³ per cell



Entry 6:
RbNaTlIn | GGA-PBE | optimized geometry

Structure (CIF):
```
data_RbNaTlIn
_symmetry_space_group_name_H-M 'C 1 m 1'
_symmetry_Int_Tables_number 8
_cell_length_a 9.1300
_cell_length_b 5.2474
_cell_length_c 7.2045
_cell_angle_alpha 90.00
_cell_angle_beta 114.75
_cell_angle_gamma 90.00
loop_
_symmetry_equiv_pos_as_xyz
'x,y,z'
'x,-y,z'
'x+1/2,y+1/2,z'
'x+1/2,-y+1/2,z'
loop_
_atom_site_label
_atom_site_fract_x
_atom_site_fract_y
_atom_site_fract_z
_atom_site_occupancy
Rb1 0.0000 0.0000 0.0000 1
Na1 0.1981 0.0000 0.5965 1
Tl1 0.2896 0.5000 0.3705 1
In1 0.4808 0.0000 0.4444 1
```

Summary:
total DFT energy (no corrections) = -15.439 eV for the cell shown
total magnetization = 0.00 μB/f.u.
E above lowest polymorph = 0 meV/atom
calculated formation energy = -0.08 eV/atom
calculated volume = 313 Å³ per cell



Entry 7:
ZnAg2Os | GGA-PBE | optimized geometry

Structure (CIF):
```
data_ZnAg2Os
_symmetry_space_group_name_H-M 'I 4/m m m'
_symmetry_Int_Tables_number 139
_symmetry_space_group_name_Hall '-I 4 2'
_cell_length_a 3.8797
_cell_length_b 3.8797
_cell_length_c 8.4917
_cell_angle_alpha 90.00
_cell_angle_beta 90.00
_cell_angle_gamma 90.00
loop_
_atom_site_label
_atom_site_fract_x
_atom_site_fract_y
_atom_site_fract_z
_atom_site_occupancy
Zn1 0.0000 0.0000 0.0000 1
Ag1 0.0000 0.5000 0.2500 1
Os1 0.0000 0.0000 0.5000 1
```

Summary:
total DFT energy (no corrections) = -31.495 eV for the cell shown
total magnetization = 0.00 μB/f.u.
calculated formation energy = 0.61 eV/atom
calculated volume = 128 Å³ per cell



Entry 8:
Rb2ZnIrI6 | GGA-PBE | optimized geometry

Structure (CIF):
```
data_Rb2ZnIrI6
_symmetry_space_group_name_H-M 'I 4/m m m'
_symmetry_Int_Tables_number 139
_symmetry_space_group_name_Hall '-I 4 2'
_cell_length_a 8.3495
_cell_length_b 8.3495
_cell_length_c 10.9551
_cell_angle_alpha 90.00
_cell_angle_beta 90.00
_cell_angle_gamma 90.00
loop_
_atom_site_label
_atom_site_fract_x
_atom_site_fract_y
_atom_site_fract_z
_atom_site_occupancy
Rb1 0.0000 0.5000 0.2500 1
Zn1 0.0000 0.0000 0.0000 1
Ir1 0.0000 0.0000 0.5000 1
I1 0.0000 0.0000 0.2462 1
I2 0.2297 0.2297 0.5000 1
```

Summary:
total DFT energy (no corrections) = -54.768 eV for the cell shown
total magnetization = 0.00 μB/f.u.
ΔE_f (raw) = -0.601 eV/atom
calculated volume = 764 Å³ per cell



Entry 9:
LaYCdAu | GGA-PBE | optimized geometry

Structure (CIF):
```
data_LaYCdAu
_symmetry_space_group_name_H-M 'F -4 3 m'
_symmetry_Int_Tables_number 216
_symmetry_space_group_name_Hall 'F -4 2 3'
_cell_length_a 7.5421
_cell_length_b 7.5421
_cell_length_c 7.5421
_cell_angle_alpha 90.00
_cell_angle_beta 90.00
_cell_angle_gamma 90.00
loop_
_atom_site_label
_atom_site_fract_x
_atom_site_fract_y
_atom_site_fract_z
_atom_site_occupancy
La1 0.0000 0.0000 0.0000 1
Y1 0.0000 0.0000 0.5000 1
Cd1 0.2500 0.2500 0.2500 1
Au1 0.2500 0.2500 0.7500 1
```

Summary:
total DFT energy (no corrections) = -70.872 eV for the cell shown
total magnetization = 0.00 μB/f.u.
E above lowest polymorph = 42 meV/atom
calculated formation energy = -0.53 eV/atom
calculated volume = 429 Å³ per cell



Entry 10:
CdIrBr2 | GGA-PBE | optimized geometry

Structure (CIF):
```
data_CdIrBr2
_symmetry_space_group_name_H-M 'P 4 m m'
_symmetry_Int_Tables_number 99
_cell_length_a 3.6801
_cell_length_b 3.6801
_cell_length_c 7.5335
_cell_angle_alpha 90.00
_cell_angle_beta 90.00
_cell_angle_gamma 90.00
loop_
_symmetry_equiv_pos_as_xyz
'x,y,z'
'-y,x,z'
'-x,-y,z'
'y,-x,z'
'-x,y,z'
'y,x,z'
'x,-y,z'
'-y,-x,z'
loop_
_atom_site_label
_atom_site_fract_x
_atom_site_fract_y
_atom_site_fract_z
_atom_site_occupancy
Cd1 0.0000 0.0000 0.0000 1
Ir1 0.5000 0.5000 0.1276 1
Br1 0.0000 0.0000 0.3740 1
Br2 0.5000 0.5000 0.7904 1
```

Summary:
total DFT energy (no corrections) = -11.617 eV for the cell shown
total magnetization = 1.01 μB/f.u.
E above lowest polymorph = 418 meV/atom
ΔE_f (raw) = 0.376 eV/atom
calculated volume = 102 Å³ per cell



Entry 11:
LiNdAlAg | GGA-PBE | optimized geometry

Structure (CIF):
```
data_LiNdAlAg
_symmetry_space_group_name_H-M 'F -4 3 m'
_symmetry_Int_Tables_number 216
_symmetry_space_group_name_Hall 'F -4 2 3'
_cell_length_a 6.9043
_cell_length_b 6.9043
_cell_length_c 6.9043
_cell_angle_alpha 90.00
_cell_angle_beta 90.00
_cell_angle_gamma 90.00
loop_
_atom_site_label
_atom_site_fract_x
_atom_site_fract_y
_atom_site_fract_z
_atom_site_occupancy
Li1 0.0000 0.0000 0.0000 1
Nd1 0.2500 0.2500 0.2500 1
Al1 0.2500 0.2500 0.7500 1
Ag1 0.0000 0.0000 0.5000 1
```

Summary:
total DFT energy (no corrections) = -57.823 eV for the cell shown
total magnetization = 0.00 μB/f.u.
calculated formation energy = -0.30 eV/atom
calculated volume = 329 Å³ per cell



Entry 12:
LiNd2Ni | GGA-PBE | optimized geometry

Structure (CIF):
```
data_LiNd2Ni
_symmetry_space_group_name_H-M 'R 3 m'
_symmetry_Int_Tables_number 160
_symmetry_space_group_name_Hall 'R 3 -2"'
_cell_length_a 4.0392
_cell_length_b 4.0392
_cell_length_c 24.8764
_cell_angle_alpha 90.00
_cell_angle_beta 90.00
_cell_angle_gamma 120.00
loop_
_atom_site_label
_atom_site_fract_x
_atom_site_fract_y
_atom_site_fract_z
_atom_site_occupancy
Li1 0.0000 0.0000 0.0000 1
Nd1 0.0000 0.0000 0.5592 1
Nd2 0.0000 0.0000 0.7712 1
Ni1 0.0000 0.0000 0.1646 1
```

Summary:
total DFT energy (no corrections) = -51.781 eV for the cell shown
total magnetization = 0.00 μB/f.u.
calculated formation energy = -0.01 eV/atom
calculated volume = 351 Å³ per cell



The lowest calculated volume belongs to which entry?
CdIrBr2